# Cs3CoO | Alexandria via LeMat-Bulk | PBE+U | relaxed
# Distance to the lowest polymorph of the same formula = 0 meV/atom
data_Cs3CoO
_cell_length_a 5.9801
_cell_length_b 5.9801
_cell_length_c 5.9801
_cell_angle_alpha 90.00
_cell_angle_beta 90.00
_cell_angle_gamma 90.00
_symmetry_space_group_name_H-M 'P m -3 m'
_symmetry_Int_Tables_number 221
_symmetry_space_group_name_Hall '-P 4 2 3'
loop_
_atom_site_label
_atom_site_type_symbol
_atom_site_fract_x
_atom_site_fract_y
_atom_site_fract_z
_atom_site_occupancy
Cs1 Cs 0.0000 0.0000 0.5000 1
Co1 Co 0.5000 0.5000 0.5000 1
O1 O 0.0000 0.0000 0.0000 1

=====

# Cs4CoO4 | Alexandria via LeMat-Bulk | PBE+U | relaxed
# Uncorrected energy = -4.320 eV/atom
data_Cs4CoO4
_cell_length_a 8.4249
_cell_length_b 8.4249
_cell_length_c 6.3215
_cell_angle_alpha 90.00
_cell_angle_beta 90.00
_cell_angle_gamma 90.00
_symmetry_space_group_name_H-M 'P 42/n'
_symmetry_Int_Tables_number 86
loop_
_symmetry_equiv_pos_as_xyz
'x,y,z'
'-x,-y,-z'
'-y,x+1/2,z+1/2'
'y,-x+1/2,-z+1/2'
'-x+1/2,-y+1/2,z'
'x+1/2,y+1/2,-z'
'y+1/2,-x,z+1/2'
'-y+1/2,x,-z+1/2'
loop_
_atom_site_label
_atom_site_type_symbol
_atom_site_fract_x
_atom_site_fract_y
_atom_site_fract_z
_atom_site_occupancy
Cs1 Cs 0.0296 0.7519 0.1035 1
Co1 Co 0.2500 0.2500 0.2500 1
O1 O 0.0726 0.2493 0.4172 1

=====

# CsCo3O | Alexandria via LeMat-Bulk | PBE+U | relaxed
# Distance to the lowest polymorph of the same formula = 1824 meV/atom
data_CsCo3O
_cell_length_a 5.0977
_cell_length_b 5.0977
_cell_length_c 5.0977
_cell_angle_alpha 90.00
_cell_angle_beta 90.00
_cell_angle_gamma 90.00
_symmetry_space_group_name_H-M 'P m -3 m'
_symmetry_Int_Tables_number 221
_symmetry_space_group_name_Hall '-P 4 2 3'
loop_
_atom_site_label
_atom_site_type_symbol
_atom_site_fract_x
_atom_site_fract_y
_atom_site_fract_z
_atom_site_occupancy
Cs1 Cs 0.0000 0.0000 0.0000 1
Co1 Co 0.0000 0.0000 0.5000 1
O1 O 0.5000 0.5000 0.5000 1

=====

# CsCoO2 | Alexandria via LeMat-Bulk | PBE+U | relaxed
# Uncorrected energy = -5.148 eV/atom
data_CsCoO2
_cell_length_a 6.2125
_cell_length_b 12.5355
_cell_length_c 8.3248
_cell_angle_alpha 90.00
_cell_angle_beta 90.00
_cell_angle_gamma 90.00
_symmetry_space_group_name_H-M 'C m c e'
_symmetry_Int_Tables_number 64
_symmetry_space_group_name_Hall '-C 2ac 2'
loop_
_atom_site_label
_atom_site_type_symbol
_atom_site_fract_x
_atom_site_fract_y
_atom_site_fract_z
_atom_site_occupancy
Cs1 Cs 0.0000 0.1637 0.0697 1
Co1 Co 0.0000 0.0484 0.6467 1
O1 O 0.0000 0.0963 0.4272 1
O2 O 0.2500 0.0882 0.7500 1

=====

# CsCoO2 | Alexandria via LeMat-Bulk | PBE+U | relaxed
# Uncorrected energy = -4.947 eV/atom
data_CsCoO2
_cell_length_a 4.7531
_cell_length_b 4.7519
_cell_length_c 6.5199
_cell_angle_alpha 90.00
_cell_angle_beta 111.30
_cell_angle_gamma 90.00
_symmetry_space_group_name_H-M 'C 1 2 1'
_symmetry_Int_Tables_number 5
loop_
_symmetry_equiv_pos_as_xyz
'x,y,z'
'-x,y,-z'
'x+1/2,y+1/2,z'
'-x+1/2,y+1/2,-z'
loop_
_atom_site_label
_atom_site_type_symbol
_atom_site_fract_x
_atom_site_fract_y
_atom_site_fract_z
_atom_site_occupancy
Cs1 Cs 0.0000 0.0000 0.0000 1
Co1 Co 0.0000 0.2515 0.5000 1
O1 O 0.1718 0.5013 0.3432 1

=====

# CsCoO2 | Alexandria via LeMat-Bulk | PBE+U | relaxed
# Uncorrected energy = -4.748 eV/atom
data_CsCoO2
_cell_length_a 3.3076
_cell_length_b 3.3076
_cell_length_c 19.3663
_cell_angle_alpha 90.00
_cell_angle_beta 90.00
_cell_angle_gamma 120.00
_symmetry_space_group_name_H-M 'R -3 m'
_symmetry_Int_Tables_number 166
_symmetry_space_group_name_Hall '-R 3 2"'
loop_
_atom_site_label
_atom_site_type_symbol
_atom_site_fract_x
_atom_site_fract_y
_atom_site_fract_z
_atom_site_occupancy
Cs1 Cs 0.0000 0.0000 0.0000 1
Co1 Co 0.0000 0.0000 0.5000 1
O1 O 0.0000 0.0000 0.2165 1

=====

# Cs3CoO3 | Alexandria via LeMat-Bulk | PBE+U | relaxed
# Distance to the lowest polymorph of the same formula = 0 meV/atom
data_Cs3CoO3
_cell_length_a 7.6878
_cell_length_b 6.1483
_cell_length_c 7.9985
_cell_angle_alpha 90.00
_cell_angle_beta 100.09
_cell_angle_gamma 90.00
_symmetry_space_group_name_H-M 'P 1 21/m 1'
_symmetry_Int_Tables_number 11
loop_
_symmetry_equiv_pos_as_xyz
'x,y,z'
'-x,-y,-z'
'-x,y+1/2,-z'
'x,-y+1/2,z'
loop_
_atom_site_label
_atom_site_type_symbol
_atom_site_fract_x
_atom_site_fract_y
_atom_site_fract_z
_atom_site_occupancy
Cs1 Cs 0.1015 0.2500 0.3023 1
Cs2 Cs 0.3322 0.7500 0.0754 1
Cs3 Cs 0.3609 0.7500 0.5742 1
Co1 Co 0.1989 0.2500 0.7755 1
O1 O 0.0296 0.7500 0.3138 1
O2 O 0.2873 0.2500 0.9957 1
O3 O 0.3588 0.2500 0.6347 1

=====

# Cs6Co2O7 | Alexandria via LeMat-Bulk | PBE+U | relaxed
# Uncorrected energy = -4.552 eV/atom
data_Cs6Co2O7
_cell_length_a 7.3898
_cell_length_b 9.8675
_cell_length_c 12.3785
_cell_angle_alpha 90.00
_cell_angle_beta 125.94
_cell_angle_gamma 90.00
_symmetry_space_group_name_H-M 'P 1 21/c 1'
_symmetry_Int_Tables_number 14
loop_
_symmetry_equiv_pos_as_xyz
'x,y,z'
'-x,-y,-z'
'-x,y+1/2,-z+1/2'
'x,-y+1/2,z+1/2'
loop_
_atom_site_label
_atom_site_type_symbol
_atom_site_fract_x
_atom_site_fract_y
_atom_site_fract_z
_atom_site_occupancy
Cs1 Cs 0.0605 0.1432 0.4197 1
Cs2 Cs 0.1973 0.5291 0.4448 1
Cs3 Cs 0.4192 0.2073 0.2850 1
Co1 Co 0.3253 0.6356 0.8704 1
O1 O 0.0709 0.6610 0.8571 1
O2 O 0.2626 0.5877 0.7117 1
O3 O 0.4946 0.7135 0.4282 1
O4 O 0.5000 0.0000 0.5000 1

=====

# CsCoPO4 | Alexandria via LeMat-Bulk | PBE+U | relaxed
# Distance to the lowest polymorph of the same formula = 58 meV/atom
data_CsCoPO4
_cell_length_a 5.0140
_cell_length_b 5.3408
_cell_length_c 9.7457
_cell_angle_alpha 90.00
_cell_angle_beta 90.37
_cell_angle_gamma 90.00
_symmetry_space_group_name_H-M 'P 1 21/m 1'
_symmetry_Int_Tables_number 11
loop_
_symmetry_equiv_pos_as_xyz
'x,y,z'
'-x,-y,-z'
'-x,y+1/2,-z'
'x,-y+1/2,z'
loop_
_atom_site_label
_atom_site_type_symbol
_atom_site_fract_x
_atom_site_fract_y
_atom_site_fract_z
_atom_site_occupancy
Cs1 Cs 0.2291 0.2500 0.3452 1
Co1 Co 0.1576 0.7500 0.0206 1
P1 P 0.2740 0.2500 0.8018 1
O1 O 0.1357 0.0201 0.8751 1
O2 O 0.2167 0.2500 0.6487 1
O3 O 0.4216 0.7500 0.1691 1

=====

# CsCoPO4 | Alexandria via LeMat-Bulk | PBE+U | relaxed
# Distance to the lowest polymorph of the same formula = 0 meV/atom
data_CsCoPO4
_cell_length_a 9.4415
_cell_length_b 5.5401
_cell_length_c 18.6948
_cell_angle_alpha 90.00
_cell_angle_beta 90.30
_cell_angle_gamma 90.00
_symmetry_space_group_name_H-M 'P 1 21/c 1'
_symmetry_Int_Tables_number 14
loop_
_symmetry_equiv_pos_as_xyz
'x,y,z'
'-x,-y,-z'
'-x,y+1/2,-z+1/2'
'x,-y+1/2,z+1/2'
loop_
_atom_site_label
_atom_site_type_symbol
_atom_site_fract_x
_atom_site_fract_y
_atom_site_fract_z
_atom_site_occupancy
Cs1 Cs 0.1897 0.2218 0.2503 1
Cs2 Cs 0.2950 0.2427 0.4966 1
Co1 Co 0.0827 0.7445 0.5883 1
Co2 Co 0.4106 0.7190 0.3330 1
P1 P 0.0828 0.7461 0.9034 1
P2 P 0.4063 0.7205 0.1541 1
O1 O 0.0113 0.0456 0.6317 1
O2 O 0.0397 0.5068 0.3692 1
O3 O 0.0573 0.7487 0.4844 1
O4 O 0.2409 0.6917 0.8881 1
O5 O 0.2874 0.6941 0.6021 1
O6 O 0.3518 0.7421 0.2322 1
O7 O 0.4431 0.0470 0.6362 1
O8 O 0.4605 0.1185 0.8578 1

=====

# CsCoP2O8 | Alexandria via LeMat-Bulk | PBE+U | relaxed
# Uncorrected energy = -6.347 eV/atom
data_CsCoP2O8
_cell_length_a 4.7834
_cell_length_b 4.7834
_cell_length_c 9.1737
_cell_angle_alpha 90.00
_cell_angle_beta 90.00
_cell_angle_gamma 120.00
_symmetry_space_group_name_H-M 'P -3'
_symmetry_Int_Tables_number 147
loop_
_symmetry_equiv_pos_as_xyz
'x,y,z'
'-x,-y,-z'
'-y,x-y,z'
'y,-x+y,-z'
'-x+y,-x,z'
'x-y,x,-z'
loop_
_atom_site_label
_atom_site_type_symbol
_atom_site_fract_x
_atom_site_fract_y
_atom_site_fract_z
_atom_site_occupancy
Cs1 Cs 0.0000 0.0000 0.0000 1
Co1 Co 0.0000 0.0000 0.5000 1
P1 P 0.3333 0.6667 0.6737 1
O1 O 0.0447 0.3387 0.6192 1
O2 O 0.3333 0.6667 0.8392 1

=====

# CsCoP2O | Alexandria via LeMat-Bulk | PBE+U | relaxed
# Uncorrected energy = -2.207 eV/atom
data_CsCoP2O
_cell_length_a 5.4692
_cell_length_b 5.4692
_cell_length_c 4.1827
_cell_angle_alpha 90.00
_cell_angle_beta 90.00
_cell_angle_gamma 90.00
_symmetry_space_group_name_H-M 'P 4/m m m'
_symmetry_Int_Tables_number 123
_symmetry_space_group_name_Hall '-P 4 2'
loop_
_atom_site_label
_atom_site_type_symbol
_atom_site_fract_x
_atom_site_fract_y
_atom_site_fract_z
_atom_site_occupancy
Cs1 Cs 0.0000 0.0000 0.0000 1
Co1 Co 0.5000 0.5000 0.5000 1
P1 P 0.0000 0.5000 0.0000 1
O1 O 0.0000 0.0000 0.5000 1

=====

# CsCoPO4 | Alexandria via LeMat-Bulk | PBE+U | relaxed
# Distance to the lowest polymorph of the same formula = 1 meV/atom
data_CsCoPO4
_cell_length_a 9.5016
_cell_length_b 9.5352
_cell_length_c 5.4654
_cell_angle_alpha 90.00
_cell_angle_beta 90.00
_cell_angle_gamma 90.00
_symmetry_space_group_name_H-M 'P n a 21'
_symmetry_Int_Tables_number 33
loop_
_symmetry_equiv_pos_as_xyz
'x,y,z'
'-x,-y,z+1/2'
'-x+1/2,y+1/2,z+1/2'
'x+1/2,-y+1/2,z'
loop_
_atom_site_label
_atom_site_type_symbol
_atom_site_fract_x
_atom_site_fract_y
_atom_site_fract_z
_atom_site_occupancy
Cs1 Cs 0.0050 0.2013 0.0000 1
Co1 Co 0.1699 0.5861 0.9943 1
P1 P 0.1946 0.4117 0.4945 1
O1 O 0.0342 0.3858 0.4880 1
O2 O 0.2291 0.7778 0.9041 1
O3 O 0.2363 0.5364 0.3242 1
O4 O 0.2439 0.4470 0.7602 1

=====

# CsCo2P2O7 | Alexandria via LeMat-Bulk | PBE+U | relaxed
# Uncorrected energy = -6.462 eV/atom
data_CsCo2P2O7
_cell_length_a 5.6137
_cell_length_b 5.6137
_cell_length_c 25.0114
_cell_angle_alpha 90.00
_cell_angle_beta 90.00
_cell_angle_gamma 120.00
_symmetry_space_group_name_H-M 'R 3 2'
_symmetry_Int_Tables_number 155
_symmetry_space_group_name_Hall 'R 3 2"'
loop_
_atom_site_label
_atom_site_type_symbol
_atom_site_fract_x
_atom_site_fract_y
_atom_site_fract_z
_atom_site_occupancy
Cs1 Cs 0.0000 0.0000 0.0000 1
Co1 Co 0.0000 0.0000 0.2339 1
P1 P 0.0000 0.0000 0.4360 1
O1 O 0.0000 0.0000 0.5000 1
O2 O 0.0481 0.4410 0.0844 1

=====

# CsPaCo2O6 | Alexandria via LeMat-Bulk | PBE+U | relaxed
# Uncorrected energy = -7.011 eV/atom
data_CsPaCo2O6
_cell_length_a 8.7158
_cell_length_b 11.9066
_cell_length_c 7.0287
_cell_angle_alpha 90.00
_cell_angle_beta 90.19
_cell_angle_gamma 90.00
_symmetry_space_group_name_H-M 'C 1 2/c 1'
_symmetry_Int_Tables_number 15
loop_
_symmetry_equiv_pos_as_xyz
'x,y,z'
'-x,-y,-z'
'-x,y,-z+1/2'
'x,-y,z+1/2'
'x+1/2,y+1/2,z'
'-x+1/2,-y+1/2,-z'
'-x+1/2,y+1/2,-z+1/2'
'x+1/2,-y+1/2,z+1/2'
loop_
_atom_site_label
_atom_site_type_symbol
_atom_site_fract_x
_atom_site_fract_y
_atom_site_fract_z
_atom_site_occupancy
Cs1 Cs 0.0000 0.1030 0.2500 1
Pa1 Pa 0.0000 0.3355 0.7500 1
Co1 Co 0.1595 0.3836 0.2505 1
O1 O 0.9999 0.3400 0.0657 1
O2 O 0.1747 0.4658 0.7510 1
O3 O 0.1770 0.2067 0.7497 1

=====

# Cs2PaCoO6 | Alexandria via LeMat-Bulk | PBE+U | relaxed
# Uncorrected energy = -6.515 eV/atom
data_Cs2PaCoO6
_cell_length_a 5.7669
_cell_length_b 5.7714
_cell_length_c 7.2454
_cell_angle_alpha 66.54
_cell_angle_beta 66.58
_cell_angle_gamma 90.00
_symmetry_space_group_name_H-M 'P -1'
_symmetry_Int_Tables_number 2
loop_
_symmetry_equiv_pos_as_xyz
'x,y,z'
'-x,-y,-z'
loop_
_atom_site_label
_atom_site_type_symbol
_atom_site_fract_x
_atom_site_fract_y
_atom_site_fract_z
_atom_site_occupancy
Cs1 Cs 0.2498 0.2498 0.0005 1
Pa1 Pa 0.0000 0.5000 0.5000 1
Co1 Co 0.5000 0.0000 0.5000 1
O1 O 0.1643 0.6643 0.1719 1
O2 O 0.2822 0.7832 0.5007 1
O3 O 0.2834 0.2172 0.5001 1

=====

# Cs2PaCo2O6 | Alexandria via LeMat-Bulk | PBE+U | relaxed
# Uncorrected energy = -6.544 eV/atom
data_Cs2PaCo2O6
_cell_length_a 6.2060
_cell_length_b 6.2060
_cell_length_c 17.3047
_cell_angle_alpha 90.00
_cell_angle_beta 90.00
_cell_angle_gamma 120.00
_symmetry_space_group_name_H-M 'R -3 m'
_symmetry_Int_Tables_number 166
_symmetry_space_group_name_Hall '-R 3 2"'
loop_
_atom_site_label
_atom_site_type_symbol
_atom_site_fract_x
_atom_site_fract_y
_atom_site_fract_z
_atom_site_occupancy
Cs1 Cs 0.0000 0.0000 0.2270 1
Pa1 Pa 0.0000 0.0000 0.0000 1
Co1 Co 0.0000 0.0000 0.4320 1
O1 O 0.0013 0.5006 0.2601 1

=====

# Cs2CoPbO | Alexandria via LeMat-Bulk | PBE+U | relaxed
# Uncorrected energy = -2.511 eV/atom
data_Cs2CoPbO
_cell_length_a 5.5158
_cell_length_b 5.5158
_cell_length_c 4.9754
_cell_angle_alpha 90.00
_cell_angle_beta 90.00
_cell_angle_gamma 90.00
_symmetry_space_group_name_H-M 'P 4/m m m'
_symmetry_Int_Tables_number 123
_symmetry_space_group_name_Hall '-P 4 2'
loop_
_atom_site_label
_atom_site_type_symbol
_atom_site_fract_x
_atom_site_fract_y
_atom_site_fract_z
_atom_site_occupancy
Cs1 Cs 0.0000 0.5000 0.0000 1
Co1 Co 0.0000 0.0000 0.0000 1
Pb1 Pb 0.0000 0.0000 0.5000 1
O1 O 0.5000 0.5000 0.5000 1